1.
PBE-GGA LiCa5Hg4, optimized geometry; spin magnetization = 0.00 μB/atom; space group = P4/mmm (123); energy = -1.760 eV/atom; energy of formation from the pure elements = -0.447 eV per atom
1.0
-1.034 3.402 -1.275
-2.569 0.253 2.759
13.270 8.376 11.586
Hg Li Ca
4 1 5
Cartesian
5.329 3.364 4.653
10.595 6.687 9.250
7.941 5.012 6.933
2.675 1.689 2.336
0.000 0.000 0.000
4.834 6.016 6.535
-0.340 2.750 2.018
10.007 9.281 11.052
2.220 4.366 4.253
7.447 7.665 8.817

---

2.
PBE-GGA LiCa3Hg2, optimized geometry; energy above the most stable polymorph in this dataset = 0.00 eV per formula unit; spin magnetization = 0.00 μB/atom; space group = P-3m1 (164); energy = -1.813 eV/atom; energy of formation from the pure elements = -0.393 eV per atom
1.0
-4.446 -0.350 -3.005
4.697 -1.768 -1.932
-2.447 -11.987 5.018
Ca Hg Li
6 4 2
Cartesian
0.626 -6.309 -0.191
-1.587 -1.745 -2.261
-0.598 -2.929 1.226
-2.822 -7.796 0.272
-1.849 -9.058 3.792
-0.609 -12.360 2.343
-1.223 -5.994 2.509
-3.415 -10.703 1.489
0.000 0.000 0.000
1.219 -3.402 -1.407
-2.206 -4.776 -0.992
0.010 -9.329 1.074

---

3.
PBE-GGA LiCa2Hg7, optimized geometry; spin magnetization = 0.00 μB/atom; space group = P3m1 (156); energy = -1.089 eV/atom; energy of formation from the pure elements = -0.286 eV per atom
1.0
4.949 0.000 0.000
-2.474 4.286 0.000
0.000 0.000 12.481
Ca Li Hg
2 1 7
Cartesian
0.000 2.857 8.246
2.474 1.429 3.954
0.000 0.000 12.083
0.000 2.857 11.320
0.000 2.857 5.207
0.000 0.000 2.734
2.474 1.429 9.841
2.474 1.429 0.523
0.000 0.000 6.403
0.000 2.857 1.889